*one*
## CoRuS2 (PBE)

Data for CoRuS2 after structural relaxation.

The structure in CIF format:
```
data_CoRuS2
_symmetry_space_group_name_H-M 'F m -3 m'
_symmetry_Int_Tables_number 225
_symmetry_space_group_name_Hall '-F 4 2 3'
_cell_length_a 5.9086
_cell_length_b 5.9086
_cell_length_c 5.9086
_cell_angle_alpha 90.00
_cell_angle_beta 90.00
_cell_angle_gamma 90.00
loop_
_atom_site_label
_atom_site_type_symbol
_atom_site_fract_x
_atom_site_fract_y
_atom_site_fract_z
Co1 Co 0.0000 0.0000 0.0000
Ru1 Ru 0.0000 0.0000 0.5000
S1 S 0.2500 0.2500 0.2500
```

Results
- N(E_F) (states/eV/f.u.) = 3.11

***

*two*
## CoRuS2 (PBE)

Data for CoRuS2 after structural relaxation.

The structure in CIF format:
```
data_CoRuS2
_symmetry_space_group_name_H-M 'P -4 m 2'
_symmetry_Int_Tables_number 115
_symmetry_space_group_name_Hall 'P -4 -2'
_cell_length_a 3.7174
_cell_length_b 3.7174
_cell_length_c 5.4845
_cell_angle_alpha 90.00
_cell_angle_beta 90.00
_cell_angle_gamma 90.00
loop_
_atom_site_label
_atom_site_type_symbol
_atom_site_fract_x
_atom_site_fract_y
_atom_site_fract_z
Co1 Co 0.0000 0.0000 0.0000
Ru1 Ru 0.5000 0.5000 0.0000
S1 S 0.0000 0.5000 0.7662
```

Results
- N(E_F) (states/eV/f.u.) = 1.28

***

Energies relative to the most stable structure, in kJ/mol of atoms: *one* 54.5; *two* 0.0.

***

*one*
## CoSb2Ru (PBE)

Data for CoSb2Ru after structural relaxation.

The structure in CIF format:
```
data_CoSb2Ru
_symmetry_space_group_name_H-M 'C 1 2/m 1'
_symmetry_Int_Tables_number 12
_symmetry_space_group_name_Hall '-C 2y'
_cell_length_a 8.0618
_cell_length_b 3.2431
_cell_length_c 5.5129
_cell_angle_alpha 90.00
_cell_angle_beta 103.02
_cell_angle_gamma 90.00
loop_
_atom_site_label
_atom_site_type_symbol
_atom_site_fract_x
_atom_site_fract_y
_atom_site_fract_z
Co1 Co 0.0000 0.0000 0.0000
Sb1 Sb 0.2490 0.5000 0.2445
Ru1 Ru 0.0000 0.5000 0.5000
```

Results
- N(E_F) (states/eV/f.u.) = 4.30

***

*two*
## CoSb2Ru (PBE)

Data for CoSb2Ru after structural relaxation.

The structure in CIF format:
```
data_CoSb2Ru
_symmetry_space_group_name_H-M 'F -4 3 m'
_symmetry_Int_Tables_number 216
_symmetry_space_group_name_Hall 'F -4 2 3'
_cell_length_a 6.6497
_cell_length_b 6.6497
_cell_length_c 6.6497
_cell_angle_alpha 90.00
_cell_angle_beta 90.00
_cell_angle_gamma 90.00
loop_
_atom_site_label
_atom_site_type_symbol
_atom_site_fract_x
_atom_site_fract_y
_atom_site_fract_z
Co1 Co 0.0000 0.0000 0.0000
Sb1 Sb 0.0000 0.0000 0.5000
Sb2 Sb 0.2500 0.2500 0.7500
Ru1 Ru 0.2500 0.2500 0.2500
```

Results
- N(E_F) (states/eV/f.u.) = 6.62

***

Energies relative to the most stable structure, in kJ/mol of atoms: *one* 0.0; *two* 46.5.

***

*one*
## CoSb2TeRu (PBE)

Data for CoSb2TeRu after structural relaxation.

The structure in CIF format:
```
data_CoSb2TeRu
_symmetry_space_group_name_H-M 'P 4/m m m'
_symmetry_Int_Tables_number 123
_symmetry_space_group_name_Hall '-P 4 2'
_cell_length_a 4.7658
_cell_length_b 4.7658
_cell_length_c 4.9824
_cell_angle_alpha 90.00
_cell_angle_beta 90.00
_cell_angle_gamma 90.00
loop_
_atom_site_label
_atom_site_type_symbol
_atom_site_fract_x
_atom_site_fract_y
_atom_site_fract_z
Co1 Co 0.0000 0.0000 0.0000
Sb1 Sb 0.0000 0.5000 0.0000
Te1 Te 0.0000 0.0000 0.5000
Ru1 Ru 0.5000 0.5000 0.5000
```

Results
- N(E_F) (states/eV/f.u.) = 4.74

***

*two*
## CoSb2TeRu (PBE)

Data for CoSb2TeRu after structural relaxation.

The structure in CIF format:
```
data_CoSb2TeRu
_symmetry_space_group_name_H-M 'P 4/m m m'
_symmetry_Int_Tables_number 123
_symmetry_space_group_name_Hall '-P 4 2'
_cell_length_a 4.9780
_cell_length_b 4.9780
_cell_length_c 5.5185
_cell_angle_alpha 90.00
_cell_angle_beta 90.00
_cell_angle_gamma 90.00
loop_
_atom_site_label
_atom_site_type_symbol
_atom_site_fract_x
_atom_site_fract_y
_atom_site_fract_z
Co1 Co 0.0000 0.0000 0.0000
Sb1 Sb 0.0000 0.5000 0.5000
Te1 Te 0.5000 0.5000 0.0000
Ru1 Ru 0.5000 0.5000 0.5000
```

Results
- N(E_F) (states/eV/f.u.) = 7.10

***

Energies relative to the most stable structure, in kJ/mol of atoms: *one* 0.0; *two* 9.3.

***

*one*
## ScCoRu3 (PBE)

Data for ScCoRu3 after structural relaxation.

The structure in CIF format:
```
data_ScCoRu3
_symmetry_space_group_name_H-M 'P m -3 m'
_symmetry_Int_Tables_number 221
_symmetry_space_group_name_Hall '-P 4 2 3'
_cell_length_a 4.4385
_cell_length_b 4.4385
_cell_length_c 4.4385
_cell_angle_alpha 90.00
_cell_angle_beta 90.00
_cell_angle_gamma 90.00
loop_
_atom_site_label
_atom_site_type_symbol
_atom_site_fract_x
_atom_site_fract_y
_atom_site_fract_z
Sc1 Sc 0.0000 0.0000 0.0000
Co1 Co 0.5000 0.5000 0.5000
Ru1 Ru 0.0000 0.5000 0.5000
```

Results
- N(E_F) (states/eV/f.u.) = 7.64

***

*two*
## ScCoRu3 (PBE)

Data for ScCoRu3 after structural relaxation.

The structure in CIF format:
```
data_ScCoRu3
_symmetry_space_group_name_H-M 'P m -3 m'
_symmetry_Int_Tables_number 221
_symmetry_space_group_name_Hall '-P 4 2 3'
_cell_length_a 4.5458
_cell_length_b 4.5458
_cell_length_c 4.5458
_cell_angle_alpha 90.00
_cell_angle_beta 90.00
_cell_angle_gamma 90.00
loop_
_atom_site_label
_atom_site_type_symbol
_atom_site_fract_x
_atom_site_fract_y
_atom_site_fract_z
Sc1 Sc 0.0000 0.0000 0.0000
Co1 Co 0.5000 0.5000 0.5000
Ru1 Ru 0.0000 0.0000 0.5000
```

Results
- N(E_F) (states/eV/f.u.) = 9.91

***

Energies relative to the most stable structure, in kJ/mol of atoms: *one* 0.0; *two* 97.9.

***

*one*
## Sc4CoRu (PBE)

Data for Sc4CoRu after structural relaxation.

The structure in CIF format:
```
data_Sc4CoRu
_symmetry_space_group_name_H-M 'F -4 3 m'
_symmetry_Int_Tables_number 216
_symmetry_space_group_name_Hall 'F -4 2 3'
_cell_length_a 7.6782
_cell_length_b 7.6782
_cell_length_c 7.6782
_cell_angle_alpha 90.00
_cell_angle_beta 90.00
_cell_angle_gamma 90.00
loop_
_atom_site_label
_atom_site_type_symbol
_atom_site_fract_x
_atom_site_fract_y
_atom_site_fract_z
Sc1 Sc 0.1244 0.1244 0.3756
Co1 Co 0.0000 0.0000 0.0000
Ru1 Ru 0.2500 0.2500 0.7500
```

Results
- N(E_F) (states/eV/f.u.) = 7.10

***

*two*
## Sc4CoRu (PBE)

Data for Sc4CoRu after structural relaxation.

The structure in CIF format:
```
data_Sc4CoRu
_symmetry_space_group_name_H-M 'C 1 2/m 1'
_symmetry_Int_Tables_number 12
_symmetry_space_group_name_Hall '-C 2y'
_cell_length_a 6.2717
_cell_length_b 6.2717
_cell_length_c 6.2578
_cell_angle_alpha 90.00
_cell_angle_beta 90.11
_cell_angle_gamma 90.00
loop_
_atom_site_label
_atom_site_type_symbol
_atom_site_fract_x
_atom_site_fract_y
_atom_site_fract_z
Sc1 Sc 0.2497 0.2502 0.2462
Co1 Co 0.0000 0.0000 0.0000
Ru1 Ru 0.0000 0.5000 0.5000
```

Results
- N(E_F) (states/eV/f.u.) = 4.22

***

*three*
## Sc4CoRu (PBE)

Data for Sc4CoRu after structural relaxation.

The structure in CIF format:
```
data_Sc4CoRu
_symmetry_space_group_name_H-M 'P 4/m m m'
_symmetry_Int_Tables_number 123
_symmetry_space_group_name_Hall '-P 4 2'
_cell_length_a 3.1782
_cell_length_b 3.1782
_cell_length_c 11.6270
_cell_angle_alpha 90.00
_cell_angle_beta 90.00
_cell_angle_gamma 90.00
loop_
_atom_site_label
_atom_site_type_symbol
_atom_site_fract_x
_atom_site_fract_y
_atom_site_fract_z
Sc1 Sc 0.0000 0.0000 0.1297
Sc2 Sc 0.5000 0.5000 0.3661
Co1 Co 0.5000 0.5000 0.0000
Ru1 Ru 0.0000 0.0000 0.5000
```

Results
- N(E_F) (states/eV/f.u.) = 4.06

***

Energies relative to the most stable structure, in kJ/mol of atoms: *one* 94.6; *two* 13.0; *three* 0.0.

***

*one*
## Sc3CoRu (PBE)

Data for Sc3CoRu after structural relaxation.

The structure in CIF format:
```
data_Sc3CoRu
_symmetry_space_group_name_H-M 'P m -3 m'
_symmetry_Int_Tables_number 221
_symmetry_space_group_name_Hall '-P 4 2 3'
_cell_length_a 4.6606
_cell_length_b 4.6606
_cell_length_c 4.6606
_cell_angle_alpha 90.00
_cell_angle_beta 90.00
_cell_angle_gamma 90.00
loop_
_atom_site_label
_atom_site_type_symbol
_atom_site_fract_x
_atom_site_fract_y
_atom_site_fract_z
Sc1 Sc 0.0000 0.0000 0.5000
Co1 Co 0.0000 0.0000 0.0000
Ru1 Ru 0.5000 0.5000 0.5000
```

Results
- N(E_F) (states/eV/f.u.) = 4.00

***

*two*
## Sc3CoRu (PBE)

Data for Sc3CoRu after structural relaxation.

The structure in CIF format:
```
data_Sc3CoRu
_symmetry_space_group_name_H-M 'P m -3 m'
_symmetry_Int_Tables_number 221
_symmetry_space_group_name_Hall '-P 4 2 3'
_cell_length_a 4.9132
_cell_length_b 4.9132
_cell_length_c 4.9132
_cell_angle_alpha 90.00
_cell_angle_beta 90.00
_cell_angle_gamma 90.00
loop_
_atom_site_label
_atom_site_type_symbol
_atom_site_fract_x
_atom_site_fract_y
_atom_site_fract_z
Sc1 Sc 0.0000 0.0000 0.5000
Co1 Co 0.5000 0.5000 0.5000
Ru1 Ru 0.0000 0.0000 0.0000
```

Results
- N(E_F) (states/eV/f.u.) = 4.65

***

Energies relative to the most stable structure, in kJ/mol of atoms: *one* 0.0; *two* 15.7.

***

*one*
## ZrScCoRu (PBE)

Data for ZrScCoRu after structural relaxation.

The structure in CIF format:
```
data_ZrScCoRu
_symmetry_space_group_name_H-M 'P 4 m m'
_symmetry_Int_Tables_number 99
_symmetry_space_group_name_Hall 'P 4 -2'
_cell_length_a 3.2245
_cell_length_b 3.2245
_cell_length_c 6.3268
_cell_angle_alpha 90.00
_cell_angle_beta 90.00
_cell_angle_gamma 90.00
loop_
_atom_site_label
_atom_site_type_symbol
_atom_site_fract_x
_atom_site_fract_y
_atom_site_fract_z
Zr1 Zr 0.0000 0.0000 0.0000
Sc1 Sc 0.0000 0.0000 0.5096
Co1 Co 0.5000 0.5000 0.7619
Ru1 Ru 0.5000 0.5000 0.2543
```

Results
- N(E_F) (states/eV/f.u.) = 1.58

***

*two*
## ZrScCoRu (PBE)

Data for ZrScCoRu after structural relaxation.

The structure in CIF format:
```
data_ZrScCoRu
_symmetry_space_group_name_H-M 'F -4 3 m'
_symmetry_Int_Tables_number 216
_symmetry_space_group_name_Hall 'F -4 2 3'
_cell_length_a 6.4092
_cell_length_b 6.4092
_cell_length_c 6.4092
_cell_angle_alpha 90.00
_cell_angle_beta 90.00
_cell_angle_gamma 90.00
loop_
_atom_site_label
_atom_site_type_symbol
_atom_site_fract_x
_atom_site_fract_y
_atom_site_fract_z
Zr1 Zr 0.0000 0.0000 0.0000
Sc1 Sc 0.0000 0.0000 0.5000
Co1 Co 0.2500 0.2500 0.2500
Ru1 Ru 0.2500 0.2500 0.7500
```

Results
- N(E_F) (states/eV/f.u.) = 2.10

***

Energies relative to the most stable structure, in kJ/mol of atoms: *one* 0.0; *two* 1.0.

***

*one*
## CoRu3Se (PBE)

Data for CoRu3Se after structural relaxation.

The structure in CIF format:
```
data_CoRu3Se
_symmetry_space_group_name_H-M 'P m -3 m'
_symmetry_Int_Tables_number 221
_symmetry_space_group_name_Hall '-P 4 2 3'
_cell_length_a 4.4499
_cell_length_b 4.4499
_cell_length_c 4.4499
_cell_angle_alpha 90.00
_cell_angle_beta 90.00
_cell_angle_gamma 90.00
loop_
_atom_site_label
_atom_site_type_symbol
_atom_site_fract_x
_atom_site_fract_y
_atom_site_fract_z
Co1 Co 0.0000 0.0000 0.0000
Ru1 Ru 0.0000 0.0000 0.5000
Se1 Se 0.5000 0.5000 0.5000
```

Results
- N(E_F) (states/eV/f.u.) = 7.87

***

*two*
## CoRu3Se (PBE)

Data for CoRu3Se after structural relaxation.

The structure in CIF format:
```
data_CoRu3Se
_symmetry_space_group_name_H-M 'P m -3 m'
_symmetry_Int_Tables_number 221
_symmetry_space_group_name_Hall '-P 4 2 3'
_cell_length_a 4.4887
_cell_length_b 4.4887
_cell_length_c 4.4887
_cell_angle_alpha 90.00
_cell_angle_beta 90.00
_cell_angle_gamma 90.00
loop_
_atom_site_label
_atom_site_type_symbol
_atom_site_fract_x
_atom_site_fract_y
_atom_site_fract_z
Co1 Co 0.0000 0.0000 0.0000
Ru1 Ru 0.0000 0.5000 0.5000
Se1 Se 0.5000 0.5000 0.5000
```

Results
- N(E_F) (states/eV/f.u.) = 10.90

***

Energies relative to the most stable structure, in kJ/mol of atoms: *one* 17.0; *two* 0.0.